Record 1
Material: Mg3NpNi8
Method: DFT, PBE
State: optimized geometry

```
12
Lattice="2.4384 1.4078 7.9731 -2.4384 1.4078 7.9731 0.0000 -2.8156 7.9731" Properties=species:S:1:pos:R:3 pbc="T T T"
Mg 0.0000 0.0000 0.0000
Mg 0.0000 0.0000 2.8715
Mg 0.0000 0.0000 15.1267
Np 0.0000 0.0000 12.0348
Ni -1.2196 -0.7041 9.5307
Ni 0.0000 -1.3978 5.5441
Ni -1.2106 0.6989 5.5441
Ni 0.0000 0.0000 7.5405
Ni 1.2106 0.6989 5.5441
Ni 1.2196 -0.7041 9.5307
Ni 0.0000 1.4083 9.5307
Ni 0.0000 0.0000 19.4859
```

Summary:
- DOS(E_F) (states/eV per atom) = 1.322
- formation enthalpy at 0 K (eV/f.u.) = -2.43
- total energy (eV/atom) = -5.534

---

Record 2
Material: SrLi2TlHg
Method: DFT, PBE
State: optimized geometry

```
5
Lattice="5.1993 0.0000 0.0000 0.0000 5.1993 0.0000 0.0000 0.0000 5.7205" Properties=species:S:1:pos:R:3 pbc="T T T"
Sr 0.0000 0.0000 0.0000
Li 0.0000 2.5996 2.8603
Li 2.5996 0.0000 2.8603
Tl 2.5996 2.5996 2.8603
Hg 2.5996 2.5996 0.0000
```

Summary:
- DOS(E_F) (states/eV per atom) = 0.640
- formation enthalpy at 0 K (eV/f.u.) = -0.35
- total energy (eV/atom) = -1.705

---

Record 3
Material: SmEr2AlPd4
Method: DFT, PBE
State: optimized geometry

```
8
Lattice="2.3968 1.3838 8.0841 -2.3968 1.3838 8.0841 0.0000 -2.7676 8.0841" Properties=species:S:1:pos:R:3 pbc="T T T"
Sm 0.0000 0.0000 0.0000
Er 0.0000 0.0000 5.9034
Er 0.0000 0.0000 18.3489
Al 0.0000 0.0000 12.1261
Pd 0.0000 0.0000 3.1073
Pd 0.0000 0.0000 9.5054
Pd 0.0000 0.0000 14.7469
Pd 0.0000 0.0000 21.1449
```

Summary:
- DOS(E_F) (states/eV per atom) = 0.718
- formation enthalpy at 0 K (eV/f.u.) = -6.75
- total energy (eV/atom) = -5.639

---

Record 4
Material: FePtSe2
Method: DFT, PBE
State: optimized geometry

```
4
Lattice="3.9031 0.0000 0.0000 0.0000 3.9005 0.0000 -0.0191 0.0000 5.7098" Properties=species:S:1:pos:R:3 pbc="T T T"
Fe 0.0000 0.0000 0.0000
Pt 1.9517 1.9503 0.0019
Se 0.0001 1.9503 1.5688
Se 1.9327 0.0000 4.1429
```

Summary:
- DOS(E_F) (states/eV per atom) = 1.467
- formation energy from raw total energies (eV/atom) = -0.106
- total energy (eV/atom) = -5.474
- energy above the lowest structure with this stoichiometry (kJ/mol of formula units) = 29

---

Record 5
Material: Sm2Co3As4Rh
Method: DFT, PBE
State: optimized geometry

```
10
Lattice="4.1769 0.0000 0.0000 0.0000 4.1769 0.0000 0.0000 0.0000 9.5146" Properties=species:S:1:pos:R:3 pbc="T T T"
Sm 0.0000 2.0884 2.3169
Sm 2.0884 0.0000 7.1978
Co 0.0000 2.0884 8.4430
Co 2.0884 0.0000 1.0716
Co 2.0884 2.0884 4.7573
As 0.0000 0.0000 0.0000
As 0.0000 2.0884 6.1074
As 2.0884 0.0000 3.4073
As 2.0884 2.0884 0.0000
Rh 0.0000 0.0000 4.7573
```

Summary:
- DOS(E_F) (states/eV per atom) = 0.552
- formation enthalpy at 0 K (eV/f.u.) = -7.98
- total energy (eV/atom) = -6.469

---

Record 6
Material: LaHf2TlPb
Method: DFT, PBE
State: optimized geometry

```
5
Lattice="5.4042 0.0000 0.0000 0.0000 5.4042 0.0000 0.0000 0.0000 5.9815" Properties=species:S:1:pos:R:3 pbc="T T T"
La 0.0000 0.0000 0.0000
Hf 0.0000 2.7021 2.9907
Hf 2.7021 0.0000 2.9907
Tl 2.7021 2.7021 0.0000
Pb 0.0000 0.0000 2.9907
```

Summary:
- DOS(E_F) (states/eV per atom) = 1.342
- formation enthalpy at 0 K (eV/f.u.) = 4.42
- total energy (eV/atom) = -5.297

---

Record 7
Material: NdPRu
Method: DFT, PBE
State: optimized geometry

```
6
Lattice="4.0285 0.0000 0.0000 0.0000 4.0285 0.0000 0.0000 0.0000 7.4949" Properties=species:S:1:pos:R:3 pbc="T T T"
Nd 1.0071 1.0071 1.3826
Nd 3.0214 3.0214 6.1123
P 1.0071 1.0071 5.0342
P 3.0214 3.0214 2.4607
Ru 1.0071 3.0214 3.7474
Ru 3.0214 1.0071 3.7474
```

Summary:
- DOS(E_F) (states/eV per atom) = 0.231
- formation enthalpy at 0 K (eV/f.u.) = -2.93
- total energy (eV/atom) = -7.461

---

Record 8
Material: Y6AlAg3
Method: DFT, PBE
State: optimized geometry

```
20
Lattice="9.1899 0.0000 0.0000 0.0000 5.0499 0.0000 -2.7535 0.0000 11.2448" Properties=species:S:1:pos:R:3 pbc="T T T"
Y -0.2657 1.2625 1.2844
Y -0.5550 1.2625 7.8399
Y 0.9274 3.7874 5.8077
Y 2.3213 1.2625 3.8676
Y 2.9668 3.7874 1.2493
Y 1.2412 3.7874 9.3708
Y 5.1953 1.2625 1.8740
Y 3.4697 1.2625 9.9954
Y 4.1151 3.7874 7.3771
Y 5.5091 1.2625 5.4370
Y 6.9914 3.7874 3.4048
Y 6.7022 3.7874 9.9604
Al 2.4198 1.2625 7.0719
Al 4.0166 3.7874 4.1729
Ag -0.7300 1.2625 4.3836
Ag 0.6461 3.7874 2.8870
Ag -0.1468 1.2625 10.8810
Ag 6.5832 3.7874 0.3637
Ag 5.7903 1.2625 8.3578
Ag 7.1664 3.7874 6.8611
```

Summary:
- DOS(E_F) (states/eV per atom) = 0.926
- formation enthalpy at 0 K (eV/f.u.) = -2.35
- total energy (eV/atom) = -5.343

---

Record 9
Material: Ca2NdVN4
Method: DFT, PBE
State: optimized geometry

```
16
Lattice="7.3898 0.0000 0.0000 0.0000 6.7639 0.0000 0.0000 0.0000 5.2708" Properties=species:S:1:pos:R:3 pbc="T T T"
Ca 1.8064 1.0981 0.0000
Ca 1.8885 5.6658 2.6354
Ca 5.5013 5.6658 2.6354
Ca 5.5834 1.0981 0.0000
Nd 0.0000 2.4861 2.6396
Nd 3.6949 4.2778 0.0042
V 0.0000 4.6019 0.2060
V 3.6949 2.1620 2.8414
N 0.0000 2.7602 5.1439
N 0.0000 4.6550 1.9914
N 1.5945 5.4751 5.0500
N 2.1004 1.2888 2.4146
N 3.6949 2.1089 4.6268
N 3.6949 4.0037 2.5085
N 5.2894 1.2888 2.4146
N 5.7953 5.4751 5.0500
```

Summary:
- DOS(E_F) (states/eV per atom) = 0.000
- formation energy from raw total energies (eV/atom) = -1.172
- total energy (eV/atom) = -7.571

---

Record 10
Material: VSbSe2
Method: DFT, PBE
State: optimized geometry

```
4
Lattice="1.6964 0.9794 8.9596 -1.6964 0.9794 8.9596 0.0000 -1.9588 8.9596" Properties=species:S:1:pos:R:3 pbc="T T T"
V 0.0000 0.0000 0.0000
Sb 0.0000 0.0000 13.4395
Se 0.0000 0.0000 10.5141
Se 0.0000 0.0000 16.3649
```

Summary:
- DOS(E_F) (states/eV per atom) = 1.096
- formation energy from raw total energies (eV/atom) = -0.381
- total energy (eV/atom) = -5.434

---

Record 11
Material: Tl2AuBr5
Method: DFT, PBE
State: optimized geometry

```
8
Lattice="5.0118 -4.4663 0.0000 5.0118 4.4663 0.0000 -4.1286 0.0000 6.5721" Properties=species:S:1:pos:R:3 pbc="T T T"
Tl 0.9437 0.0000 2.3043
Tl 4.9513 0.0000 4.2678
Au 5.0118 0.0000 0.0000
Br -2.0643 0.0000 3.2861
Br 4.0256 1.7670 1.4680
Br 1.8694 1.7670 5.1041
Br 4.0256 -1.7670 1.4680
Br 1.8694 -1.7670 5.1041
```

Summary:
- formation energy from raw total energies (eV/atom) = -0.512
- total energy (eV/atom) = -2.558
- energy above the lowest structure with this stoichiometry (kJ/mol of formula units) = 0

---

Record 12
Material: Na2YOsO6
Method: DFT, PBE
State: optimized geometry

```
20
Lattice="5.6398 0.0000 0.0000 0.0000 5.7481 0.0000 -5.5993 0.0000 8.0637" Properties=species:S:1:pos:R:3 pbc="T T T"
Na -0.0312 0.2055 2.0200
Na -2.8309 2.6685 6.0518
Na 2.8714 3.0796 2.0118
Na 0.0718 5.5425 6.0437
Y 2.8199 0.0000 0.0000
Y 0.0203 2.8740 4.0318
Os -2.7996 0.0000 4.0318
Os 0.0000 2.8740 0.0000
O -4.5846 1.3084 7.6943
O -1.7850 1.5656 3.6625
O -4.0609 3.9374 7.7344
O -1.2612 4.6847 3.7026
O -2.3230 0.1390 5.8686
O 0.4766 2.7350 1.8367
O -0.4361 3.0130 6.2269
O 2.3636 5.6091 2.1951
O 1.3018 1.0634 4.3611
O 4.1014 1.8106 0.3292
O 1.8255 4.1825 4.4012
O 4.6252 4.4396 0.3693
```

Summary:
- DOS(E_F) (states/eV per atom) = 0.417
- formation energy from raw total energies (eV/atom) = -1.873
- total energy (eV/atom) = -6.882

---

Record 13
Material: Cs3Er2PuS6
Method: DFT, PBE
State: optimized geometry

```
12
Lattice="3.5661 -6.1765 0.0000 3.5661 6.1765 0.0000 -2.3771 0.0000 8.0382" Properties=species:S:1:pos:R:3 pbc="T T T"
Cs 0.0000 0.0000 0.0000
Cs 3.5661 2.0605 0.0000
Cs 3.5661 -2.0605 0.0000
Er 2.3776 4.1180 4.0191
Er 2.3776 -4.1180 4.0191
Pu 2.3776 0.0000 4.0191
S 1.1683 2.0944 2.5715
S -0.0409 0.0000 5.4670
S 1.1683 -2.0944 2.5715
S 3.5869 2.0944 5.4667
S 4.7960 0.0000 2.5713
S 3.5869 -2.0944 5.4667
```

Summary:
- DOS(E_F) (states/eV per atom) = 1.033
- formation energy from raw total energies (eV/atom) = -1.715
- total energy (eV/atom) = -5.947

---

Record 14
Material: Na4Pm3SbS8
Method: DFT, PBE
State: optimized geometry

```
16
Lattice="4.0794 2.3552 6.6910 -4.0794 2.3552 6.6910 0.0000 -4.7104 6.6910" Properties=species:S:1:pos:R:3 pbc="T T T"
Na 0.0000 0.0000 0.0000
Na -2.0397 -1.1776 6.6910
Na -2.0397 1.1776 13.3819
Na 0.0000 2.3552 6.6910
Pm -4.0794 0.0000 10.0364
Pm -2.0397 1.1776 3.3455
Pm 2.0397 1.1776 3.3455
Sb 0.0000 0.0000 10.0364
S 0.0000 0.0000 4.8990
S -2.0102 -1.1606 11.5793
S 0.0000 -2.3211 8.4935
S -2.0102 1.1606 8.4935
S 2.0102 -1.1606 11.5793
S 0.0000 2.3211 11.5793
S 2.0102 1.1606 8.4936
S 0.0000 0.0000 15.1738
```

Summary:
- DOS(E_F) (states/eV per atom) = 0.000
- formation energy from raw total energies (eV/atom) = -1.520
- total energy (eV/atom) = -5.062